(1)
! TaFeHg2, optimized geometry, DFT GGA-PBE; values from VASP
! total magnetization	1.8	μB per cell
! ΔE to the lowest computed polymorph	275.6	meV per atom
! energy of formation	0.540	eV/atom
! D(E_F)	4.32	states/eV/f.u.
&SYSTEM
  ibrav = 0, nat = 4, ntyp = 3
/
ATOMIC_SPECIES
Hg 200.59 Hg.upf
Fe 55.84 Fe.upf
Ta 180.95 Ta.upf
ATOMIC_POSITIONS angstrom
Hg -0.5522 -3.4849 -4.8763
Hg -0.7608 -1.9632 -9.4194
Fe -0.2744 -1.7565 -2.3996
Ta -0.8231 -5.2694 -7.1988
CELL_PARAMETERS angstrom
-1.8862 -0.8711 -4.6469
1.1220 -1.0640 -4.8497
-0.3333 -5.0908 -0.1019

(2)
! TaFe3Hg, optimized geometry, DFT GGA-PBE; values from VASP
! total magnetization	7.2	μB per cell
! ΔE to the lowest computed polymorph	484.9	meV per atom
! energy of formation	1.877	eV/atom
! D(E_F)	7.07	states/eV/f.u.
&SYSTEM
  ibrav = 0, nat = 5, ntyp = 3
/
ATOMIC_SPECIES
Fe 55.84 Fe.upf
Hg 200.59 Hg.upf
Ta 180.95 Ta.upf
ATOMIC_POSITIONS angstrom
Fe 1.7555 -1.3111 0.8495
Fe -0.6208 -1.7581 -1.4305
Fe -1.4336 -0.8441 1.6597
Hg 0.0000 0.0000 0.0000
Ta -0.2990 -3.9133 1.0787
CELL_PARAMETERS angstrom
-1.2417 -3.5161 -2.8609
3.5109 -2.6223 1.6990
-2.8673 -1.6883 3.3194

(3)
! Ta4FeHg, optimized geometry, DFT GGA-PBE; values from VASP
! total magnetization	2.2	μB per cell
! energy of formation	0.641	eV/atom
! D(E_F)	6.89	states/eV/f.u.
&SYSTEM
  ibrav = 0, nat = 6, ntyp = 3
/
ATOMIC_SPECIES
Hg 200.59 Hg.upf
Ta 180.95 Ta.upf
Fe 55.84 Fe.upf
ATOMIC_POSITIONS angstrom
Hg 0.0000 0.0000 0.0000
Ta 4.8016 2.8909 4.8016
Ta 2.8909 2.8909 2.8909
Ta 2.8909 4.8016 4.8016
Ta 4.8016 4.8016 2.8909
Fe 5.7694 5.7694 5.7694
CELL_PARAMETERS angstrom
0.0000 3.8463 3.8463
3.8463 0.0000 3.8463
3.8463 3.8463 0.0000

What is the total magnetization in the third record? 2.2 μB per cell